PmVAgF6 after structural relaxation, computed with GGA+U.

Results
magnetization	3.000	μB per formula unit
crystal system	tetragonal
DFT total energy	-5.7991	eV/atom

CIF file:
```
data_PmVAgF6
_space_group_name_H-M_alt 'P 42 n m'
_space_group_IT_number 102
_cell_length_a 5.316
_cell_length_b 5.316
_cell_length_c 10.614
_cell_angle_alpha 90.00
_cell_angle_beta 90.00
_cell_angle_gamma 90.00
loop_
_space_group_symop_operation_xyz
'x,y,z'
'-y+1/2,x+1/2,z+1/2'
'-x,-y,z'
'y+1/2,-x+1/2,z+1/2'
'-x+1/2,y+1/2,z+1/2'
'y,x,z'
'x+1/2,-y+1/2,z+1/2'
'-y,-x,z'
loop_
_atom_site_label
_atom_site_type_symbol
_atom_site_fract_x
_atom_site_fract_y
_atom_site_fract_z
Pm1 Pm 0.000 0.000 0.000
V1 V 0.000 0.000 0.663
Ag1 Ag 0.000 0.000 0.329
F1 F 0.177 0.177 0.823
F2 F 0.199 0.199 0.520
F3 F 0.219 0.219 0.148
```